Entry 1:
A relaxed V4Pt7Rh6 crystal, computed with PBE-GGA.

Computed properties:
Raw total energy: -7.18 eV per atom
DOS(E_F): 26.36 states/eV/cell
Total magnetic moment: 2.8 Bohr magnetons per cell
Formation enthalpy at 0 K: 0.05 eV/atom

```
V4Pt7Rh6
1.0
6.643 0.000 -2.348
-3.321 5.753 -2.348
0.000 0.000 7.045
V Pt Rh
4 7 6
Direct
0.000 0.000 0.500
0.500 0.500 0.500
0.500 0.000 0.000
0.000 0.500 0.000
0.750 0.250 0.500
0.750 0.500 0.250
0.500 0.750 0.250
0.250 0.500 0.750
0.000 0.000 0.000
0.500 0.250 0.750
0.250 0.750 0.500
0.000 0.703 0.703
0.703 0.703 0.000
0.297 0.000 0.297
0.000 0.297 0.297
0.297 0.297 0.000
0.703 0.000 0.703
```

=====

Entry 2:
A relaxed V4Pt5Rh2 crystal, computed with PBE-GGA.

Computed properties:
E above lowest polymorph: 317 meV/atom
Raw total energy: -7.50 eV per atom
DOS(E_F): 10.47 states/eV/cell
Total magnetic moment: 0.0 Bohr magnetons per cell
Formation enthalpy at 0 K: -0.10 eV/atom

```
V4Pt5Rh2
1.0
4.129 0.000 0.000
0.000 4.655 0.167
-2.065 -0.952 9.500
V Pt Rh
4 5 2
Direct
0.323 0.340 0.645
0.677 0.660 0.355
0.959 0.722 0.918
0.041 0.278 0.082
0.097 0.787 0.194
0.500 0.000 0.000
0.170 0.317 0.340
0.830 0.683 0.660
0.903 0.213 0.806
0.252 0.824 0.504
0.748 0.176 0.496
```

=====

Entry 3:
A relaxed VPtRh crystal, computed with PBE-GGA.

Computed properties:
E above lowest polymorph: 51 meV/atom
Raw total energy: -7.95 eV per atom
DOS(E_F): 11.30 states/eV/cell
Total magnetic moment: 0.0 Bohr magnetons per cell
Formation enthalpy at 0 K: -0.44 eV/atom

```
VPtRh
1.0
-1.180 -4.421 -1.213
7.237 -2.673 2.703
-1.322 0.941 4.471
Rh Pt V
4 4 4
Direct
0.000 0.403 0.500
0.500 0.718 0.000
0.000 0.903 0.000
0.500 0.218 0.500
0.000 0.245 0.000
0.500 0.057 0.000
0.500 0.557 0.500
0.000 0.745 0.500
0.000 0.582 0.000
0.500 0.386 0.000
0.000 0.082 0.500
0.500 0.886 0.500
```

=====

Entry 4:
A relaxed V5PtRh4 crystal, computed with PBE-GGA.

Computed properties:
Raw total energy: -8.51 eV per atom
DOS(E_F): 12.14 states/eV/cell
Total magnetic moment: 0.0 Bohr magnetons per cell
Formation enthalpy at 0 K: -0.40 eV/atom

```
V5PtRh4
1.0
2.736 0.000 0.000
0.000 2.736 0.000
0.000 0.000 18.495
Pt V Rh
1 5 4
Direct
0.000 0.000 0.000
0.500 0.500 0.895
0.500 0.500 0.105
0.500 0.500 0.698
0.500 0.500 0.500
0.500 0.500 0.302
0.000 0.000 0.401
0.000 0.000 0.203
0.000 0.000 0.797
0.000 0.000 0.599
```

=====

Entry 5:
A relaxed VPt5Rh4 crystal, computed with PBE-GGA.

Computed properties:
Raw total energy: -6.79 eV per atom
DOS(E_F): 14.67 states/eV/cell
Total magnetic moment: 0.0 Bohr magnetons per cell
Formation enthalpy at 0 K: 0.08 eV/atom

```
VPt5Rh4
1.0
-0.610 3.674 -0.214
-5.714 -1.228 -4.808
2.353 -0.955 9.444
Rh Pt V
4 5 1
Direct
0.670 0.094 0.340
0.000 0.239 0.999
0.000 0.761 0.001
0.330 0.906 0.660
0.836 0.660 0.671
0.164 0.340 0.329
0.833 0.169 0.666
0.167 0.831 0.334
0.500 0.500 0.000
0.500 0.000 0.000
```

=====

Entry 6:
A relaxed V2PtRh4 crystal, computed with PBE-GGA.

Computed properties:
E above lowest polymorph: 0 meV/atom
Raw total energy: -7.94 eV per atom
DOS(E_F): 15.01 states/eV/cell
Total magnetic moment: 0.0 Bohr magnetons per cell
Formation enthalpy at 0 K: -0.27 eV/atom

```
V2PtRh4
1.0
5.367 -0.371 -0.436
-0.810 6.382 0.121
-2.553 -2.958 6.080
Pt Rh V
2 8 4
Direct
0.017 0.835 0.975
0.280 0.724 0.543
0.773 0.140 0.813
0.760 0.694 0.527
0.523 0.841 0.988
0.262 0.521 0.104
0.513 0.999 0.384
0.257 0.128 0.798
0.042 0.264 0.276
0.765 0.523 0.109
0.528 0.422 0.684
0.976 0.958 0.371
0.026 0.429 0.688
0.527 0.273 0.241
```

=====

Entry 7:
A relaxed VPt3Rh crystal, computed with PBE-GGA.

Computed properties:
E above lowest polymorph: 0 meV/atom
Raw total energy: -7.18 eV per atom
DOS(E_F): 10.46 states/eV/cell
Total magnetic moment: 0.0 Bohr magnetons per cell
Formation enthalpy at 0 K: -0.26 eV/atom

```
VPt3Rh
1.0
-3.803 0.922 -1.971
-0.661 -4.708 -0.912
-1.497 -0.936 7.311
V Pt Rh
2 6 2
Direct
0.883 0.737 0.050
0.158 0.264 0.598
0.555 0.417 0.392
0.959 0.242 0.199
0.464 0.896 0.210
0.742 0.457 0.765
0.074 0.758 0.429
0.273 0.855 0.828
0.664 0.952 0.609
0.357 0.366 0.993
```

=====

Entry 8:
A relaxed VPtRh crystal, computed with PBE-GGA.

Computed properties:
E above lowest polymorph: 76 meV/atom
Raw total energy: -7.92 eV per atom
DOS(E_F): 5.82 states/eV/cell
Total magnetic moment: 0.0 Bohr magnetons per cell
Formation enthalpy at 0 K: -0.42 eV/atom

```
VPtRh
1.0
-2.130 2.967 -1.208
-3.774 -1.275 -2.607
-4.028 -1.512 3.397
Rh V Pt
2 2 2
Direct
0.888 0.143 0.927
0.202 0.514 0.555
0.213 0.492 0.056
0.542 0.836 0.258
0.866 0.186 0.391
0.551 0.816 0.760
```

=====

Entry 9:
A relaxed VPtRh crystal, computed with PBE-GGA.

Computed properties:
E above lowest polymorph: 47 meV/atom
Raw total energy: -7.95 eV per atom
DOS(E_F): 6.48 states/eV/cell
Total magnetic moment: 0.0 Bohr magnetons per cell
Formation enthalpy at 0 K: -0.45 eV/atom

```
VPtRh
1.0
-2.267 -1.525 -0.034
1.796 -2.628 -1.940
2.378 -3.695 7.208
Pt Rh V
2 2 2
Direct
0.500 0.000 0.773
0.000 0.500 0.273
0.000 0.500 0.593
0.500 0.000 0.093
0.500 0.000 0.442
0.000 0.500 0.942
```

=====

Entry 10:
A relaxed V2Pt2Rh3 crystal, computed with PBE-GGA.

Computed properties:
Raw total energy: -7.78 eV per atom
DOS(E_F): 7.34 states/eV/cell
Total magnetic moment: 0.0 Bohr magnetons per cell
Formation enthalpy at 0 K: -0.30 eV/atom

```
V2Pt2Rh3
1.0
-3.592 -0.198 -1.169
0.842 -0.782 -2.455
1.379 -9.431 3.478
V Rh Pt
2 3 2
Direct
0.864 0.000 0.727
0.136 0.000 0.273
0.432 0.500 0.863
0.568 0.500 0.137
0.000 0.000 0.000
0.297 0.500 0.595
0.703 0.500 0.405
```

=====

Entry 11:
A relaxed V2Pt2Rh crystal, computed with PBE-GGA.

Computed properties:
E above lowest polymorph: 201 meV/atom
Raw total energy: -7.74 eV per atom
DOS(E_F): 13.09 states/eV/cell
Total magnetic moment: 0.0 Bohr magnetons per cell
Formation enthalpy at 0 K: -0.21 eV/atom

```
V2Pt2Rh
1.0
-4.906 -5.478 0.046
1.167 -0.985 7.193
-2.015 1.809 0.575
Rh Pt V
2 4 4
Direct
0.000 0.000 0.000
0.500 0.500 0.000
0.676 0.824 0.500
0.824 0.324 0.500
0.324 0.176 0.500
0.176 0.676 0.500
0.883 0.617 0.000
0.383 0.883 0.000
0.117 0.383 0.000
0.617 0.117 0.000
```

=====

Entry 12:
A relaxed VPtRh crystal, computed with PBE-GGA.

Computed properties:
E above lowest polymorph: 18 meV/atom
Raw total energy: -7.98 eV per atom
DOS(E_F): 9.83 states/eV/cell
Total magnetic moment: 0.0 Bohr magnetons per cell
Formation enthalpy at 0 K: -0.48 eV/atom

```
VPtRh
1.0
4.584 0.000 0.010
0.000 2.741 0.000
-3.026 0.000 13.719
Pt V Rh
4 4 4
Direct
0.715 0.500 0.937
0.285 0.500 0.063
0.285 0.000 0.563
0.715 0.000 0.437
0.812 0.500 0.604
0.188 0.000 0.896
0.812 0.000 0.104
0.188 0.500 0.396
0.748 0.000 0.752
0.252 0.000 0.248
0.748 0.500 0.252
0.252 0.500 0.748
```

=====

Entry 13:
A relaxed VPt3Rh crystal, computed with PBE-GGA.

Computed properties:
E above lowest polymorph: 1214 meV/atom
Raw total energy: -5.97 eV per atom
DOS(E_F): 5.80 states/eV/cell
Total magnetic moment: 0.4 Bohr magnetons per cell
Formation enthalpy at 0 K: 0.95 eV/atom

```
VPt3Rh
1.0
-2.739 -3.645 0.163
3.648 -2.739 0.054
0.055 0.162 4.558
V Pt Rh
1 3 1
Direct
0.000 0.000 0.000
0.500 0.000 0.000
0.000 0.500 0.000
0.000 0.000 0.500
0.500 0.500 0.500
```

=====

Entry 14:
A relaxed VPtRh crystal, computed with PBE-GGA.

Computed properties:
E above lowest polymorph: 46 meV/atom
Raw total energy: -7.95 eV per atom
DOS(E_F): 3.03 states/eV/cell
Total magnetic moment: 0.0 Bohr magnetons per cell
Formation enthalpy at 0 K: -0.45 eV/atom

```
VPtRh
1.0
2.744 0.000 0.000
0.000 2.744 0.000
-1.372 -1.372 5.702
Pt V Rh
1 1 1
Direct
0.007 0.007 0.015
0.671 0.671 0.341
0.322 0.322 0.644
```

=====

Entry 15:
A relaxed V2PtRh9 crystal, computed with PBE-GGA.

Computed properties:
Raw total energy: -7.80 eV per atom
DOS(E_F): 13.96 states/eV/cell
Total magnetic moment: 0.0 Bohr magnetons per cell
Formation enthalpy at 0 K: -0.27 eV/atom

```
V2PtRh9
1.0
-3.690 0.844 0.618
-1.039 -3.215 -1.814
0.357 -5.729 9.951
V Rh Pt
2 9 1
Direct
0.000 0.000 0.668
0.000 0.000 0.332
0.500 0.500 0.000
0.500 0.500 0.664
0.500 0.500 0.336
0.500 0.000 0.826
0.000 0.500 0.174
0.500 0.000 0.500
0.000 0.500 0.500
0.500 0.000 0.174
0.000 0.500 0.826
0.000 0.000 0.000
```

=====

Entry 16:
A relaxed VPtRh crystal, computed with PBE-GGA.

Computed properties:
E above lowest polymorph: 50 meV/atom
Raw total energy: -7.95 eV per atom
DOS(E_F): 12.58 states/eV/cell
Total magnetic moment: 0.0 Bohr magnetons per cell
Formation enthalpy at 0 K: -0.45 eV/atom

```
VPtRh
1.0
-2.001 2.327 -3.471
4.420 -4.506 -5.569
-2.630 -3.691 0.899
Pt Rh V
4 4 4
Direct
0.000 0.839 0.500
0.000 0.161 0.500
0.000 0.339 0.000
0.000 0.661 0.000
0.500 0.659 0.500
0.500 0.159 0.000
0.500 0.341 0.500
0.500 0.841 0.000
0.000 0.000 0.000
0.000 0.500 0.500
0.500 0.500 0.000
0.500 0.000 0.500
```

=====

Entry 17:
A relaxed VPtRh crystal, computed with PBE-GGA.

Computed properties:
E above lowest polymorph: 100 meV/atom
Raw total energy: -7.90 eV per atom
DOS(E_F): 7.11 states/eV/cell
Total magnetic moment: 0.0 Bohr magnetons per cell
Formation enthalpy at 0 K: -0.40 eV/atom

```
VPtRh
1.0
-2.227 -3.717 -1.995
1.465 -1.704 1.539
-3.967 1.360 5.283
Rh V Pt
2 2 2
Direct
0.000 0.500 0.500
0.500 0.000 0.500
0.778 0.500 0.829
0.222 0.500 0.171
0.270 0.000 0.843
0.730 0.000 0.157
```

=====

Entry 18:
A relaxed V3PtRh5 crystal, computed with PBE-GGA.

Computed properties:
Raw total energy: -7.71 eV per atom
DOS(E_F): 25.08 states/eV/cell
Total magnetic moment: 0.0 Bohr magnetons per cell
Formation enthalpy at 0 K: 0.09 eV/atom

```
V3PtRh5
1.0
-2.788 4.552 -5.323
2.710 -3.265 -4.211
-4.848 -3.471 -0.429
V Rh Pt
6 10 2
Direct
0.500 0.132 0.368
0.000 0.000 0.000
0.500 0.368 0.868
0.000 0.500 0.500
0.500 0.868 0.632
0.500 0.632 0.132
0.500 0.500 0.500
0.775 0.763 0.263
0.225 0.263 0.237
0.225 0.763 0.263
0.500 0.000 0.000
0.225 0.737 0.763
0.775 0.737 0.763
0.775 0.237 0.737
0.225 0.237 0.737
0.775 0.263 0.237
0.000 0.500 0.000
0.000 0.000 0.500
```

=====

Entry 19:
A relaxed V4PtRh3 crystal, computed with PBE-GGA.

Computed properties:
E above lowest polymorph: 306 meV/atom
Raw total energy: -8.18 eV per atom
DOS(E_F): 11.62 states/eV/cell
Total magnetic moment: 0.0 Bohr magnetons per cell
Formation enthalpy at 0 K: -0.11 eV/atom

```
V4PtRh3
1.0
-0.544 -1.942 -1.756
-2.270 -2.546 3.519
-6.112 6.169 -2.891
Pt Rh V
1 3 4
Direct
0.500 0.000 0.000
0.759 0.759 0.519
0.241 0.241 0.481
0.000 0.500 0.000
0.627 0.871 0.255
0.373 0.129 0.745
0.373 0.617 0.745
0.627 0.383 0.255
```

=====

Entry 20:
A relaxed VPt3Rh4 crystal, computed with PBE-GGA.

Computed properties:
E above lowest polymorph: 343 meV/atom
Raw total energy: -7.01 eV per atom
DOS(E_F): 11.88 states/eV/cell
Total magnetic moment: 0.0 Bohr magnetons per cell
Formation enthalpy at 0 K: 0.07 eV/atom

```
VPt3Rh4
1.0
2.787 0.000 0.000
0.000 4.075 -0.931
0.001 0.323 10.802
Rh Pt V
4 3 1
Direct
0.500 0.594 0.188
0.500 0.717 0.433
0.500 0.406 0.812
0.500 0.283 0.567
0.500 0.000 0.000
0.000 0.157 0.315
0.000 0.843 0.685
0.000 0.500 0.000
```

=====

Entry 21:
A relaxed V3PtRh6 crystal, computed with PBE-GGA.

Computed properties:
Raw total energy: -8.11 eV per atom
DOS(E_F): 17.91 states/eV/cell
Total magnetic moment: 1.5 Bohr magnetons per cell
Formation enthalpy at 0 K: -0.36 eV/atom

```
V3PtRh6
1.0
4.329 0.000 0.000
0.000 6.706 -2.770
0.000 -0.361 9.805
Pt Rh V
2 12 6
Direct
0.750 0.035 0.431
0.250 0.965 0.569
0.250 0.660 0.676
0.750 0.725 0.532
0.250 0.857 0.263
0.250 0.275 0.468
0.750 0.835 0.837
0.750 0.340 0.324
0.750 0.930 0.131
0.750 0.536 0.929
0.250 0.165 0.163
0.250 0.070 0.869
0.750 0.143 0.737
0.250 0.464 0.071
0.750 0.443 0.630
0.750 0.643 0.232
0.250 0.357 0.768
0.250 0.557 0.370
0.750 0.230 0.029
0.250 0.770 0.971
```

=====

Entry 22:
A relaxed VPt2Rh4 crystal, computed with PBE-GGA.

Computed properties:
E above lowest polymorph: 0 meV/atom
Raw total energy: -7.49 eV per atom
DOS(E_F): 7.20 states/eV/cell
Total magnetic moment: 0.0 Bohr magnetons per cell
Formation enthalpy at 0 K: -0.26 eV/atom

```
VPt2Rh4
1.0
3.870 0.000 0.000
1.935 4.312 -0.350
0.000 -0.356 6.069
V Rh Pt
1 4 2
Direct
0.000 0.000 0.000
0.141 0.718 0.582
0.567 0.865 0.288
0.433 0.135 0.712
0.859 0.282 0.418
0.712 0.576 0.861
0.288 0.424 0.139
```